--- A ---
A plane-wave DFT calculation with PBE was carried out for a relaxed AlV2Si crystal.

```
AlV2Si
1.0
-1.0507 -2.6155 -3.8642
2.7791 -2.2012 3.5155
-4.7195 -0.8114 2.0900
Si V Al
2 4 2
Cartesian
-0.3193 -3.7498 -0.7475 Si
-4.7983 -2.8941 -1.0758 Si
-2.6973 -4.1753 0.1764 V
-2.4162 -2.8101 -2.0397 V
-3.4111 -2.8736 2.7442 V
-0.9465 -2.7343 1.5953 V
-0.7701 -1.1253 -0.6818 Al
-3.0709 -1.5989 0.4074 Al
```

Spin magnetization ... 0.00 μB per formula unit
Space group ... P1

---

--- B ---
A plane-wave DFT calculation with PBE was carried out for a relaxed AlV2Si crystal.

```
AlV2Si
1.0
-2.7566 4.6069 5.7342
-1.5693 -4.2743 2.6796
4.6257 -0.2023 2.3863
Si V Al
4 8 4
Cartesian
-2.1630 0.1663 4.2069 Si
0.1499 0.0651 5.4001 Si
2.3129 -0.1012 1.1932 Si
0.0000 0.0000 0.0000 Si
0.0023 -0.1268 2.8273 V
-2.1607 0.0395 7.0342 V
2.4604 0.0908 3.7659 V
1.0646 2.4235 6.6694 V
-1.3585 2.1474 5.6580 V
1.6583 -2.0171 5.1421 V
0.2974 0.2571 7.9728 V
-0.7648 -2.2932 4.1307 V
-0.7847 -2.1371 1.3398 Al
-1.3783 2.3035 2.8671 Al
0.9345 2.2023 4.0603 Al
1.5282 -2.2383 2.5329 Al
```

Spin magnetization ... 0.00 μB per formula unit
Space group ... Cmcm

---

--- C ---
A plane-wave DFT calculation with PBE was carried out for a relaxed AlV2Si crystal.

```
AlV2Si
1.0
-2.9034 2.9105 0.9970
-3.6449 -3.7404 0.3049
1.0251 -0.6104 4.7672
Al Si V
2 2 4
Cartesian
-4.0966 -2.2268 3.5452 Al
-1.7706 0.9914 0.9241 Al
-0.9550 -1.4413 1.4265 Si
-1.6084 -2.9431 3.9077 Si
-2.7393 -3.2618 1.5449 V
-3.5743 -0.8665 1.0949 V
-2.2844 -0.3740 3.4134 V
0.1628 -1.1148 3.7286 V
```

Spin magnetization ... 0.00 μB per formula unit
Space group ... Pmc2_1

---

--- D ---
A plane-wave DFT calculation with PBE was carried out for a relaxed AlV2Si crystal.

```
AlV2Si
1.0
-2.2806 -3.2862 1.4551
-4.2163 -0.0859 -0.5767
-1.7182 -2.7743 -2.7329
Si Al V
1 1 2
Cartesian
-4.1076 -3.0732 -0.9273 Si
0.0000 0.0000 0.0000 Al
-6.1613 -4.6097 -1.3909 V
-2.0538 -1.5366 -0.4636 V
```

Spin magnetization ... 1.98 μB per formula unit
Space group ... Fm-3m

---

C is preferred energetically. Next in line: 20 meV/atom higher.

---

--- A ---
A plane-wave DFT calculation with PBE was carried out for a relaxed AlV2Si crystal.

```
AlV2Si
1.0
2.6387 0.0000 0.0126
0.0000 7.8604 0.0000
-0.9728 0.0000 5.1877
Si V Al
2 4 2
Cartesian
0.0000 0.0000 0.0000 Si
-0.4864 3.9302 2.5939 Si
0.5898 5.8953 3.8971 V
1.0762 5.8953 1.3033 V
1.0762 1.9651 1.3033 V
0.5898 1.9651 3.8971 V
0.0000 3.9302 0.0000 Al
-0.4864 0.0000 2.5939 Al
```

Spin magnetization ... 0.00 μB per formula unit
Space group ... C2/m

---

--- B ---
A plane-wave DFT calculation with PBE was carried out for a relaxed AlV2Si crystal.

```
AlV2Si
1.0
6.6961 0.0000 0.0000
0.0000 6.6961 0.0000
3.3480 3.3480 2.6336
V Al Si
4 2 2
Cartesian
5.0221 4.9156 1.9752 V
1.5675 5.0221 0.6584 V
5.1285 1.6740 0.6584 V
8.3701 8.4766 1.9752 V
3.3480 3.3480 0.0000 Al
3.3480 6.6961 1.3168 Al
6.6961 3.3480 1.3168 Si
0.0000 0.0000 0.0000 Si
```

Spin magnetization ... 0.00 μB per formula unit
Space group ... I-42d

---

--- C ---
A plane-wave DFT calculation with PBE was carried out for a relaxed AlV2Si crystal.

```
AlV2Si
1.0
-2.2405 -0.7061 -2.1463
-0.3637 -2.8705 1.3240
-3.8187 2.0164 3.3229
V Si Al
2 1 1
Cartesian
-0.8245 0.4354 0.7174 V
-2.9942 1.5811 2.6055 V
-1.3021 -1.7883 -0.4112 Si
-3.2114 -0.7801 1.2503 Al
```

Spin magnetization ... 0.00 μB per formula unit
Space group ... P4/mmm

---

A is preferred energetically. Next in line: 54 meV/atom higher.